[1]
This record from Alexandria describes a relaxed structure of MgSn2. The functional is PBEsol.

Results
ΔE_f: -0.046 eV/atom

The structure in CIF format:
```
data_MgSn2
_chemical_formula_sum 'Mg2 Sn4'
_cell_length_a 5.8544
_cell_length_b 5.8544
_cell_length_c 4.9951
_cell_angle_alpha 90.00
_cell_angle_beta 90.00
_cell_angle_gamma 120.00
_space_group_name_H-M_alt 'P -6 2 m'
_space_group_IT_number 189
_space_group_name_Hall 'P -6 -2'
loop_
_atom_site_label
_atom_site_type_symbol
_atom_site_fract_x
_atom_site_fract_y
_atom_site_fract_z
Mg1 Mg 0.3333 0.6667 0.0000
Sn1 Sn 0.0000 0.0000 0.0000
Sn2 Sn 0.0000 0.6527 0.5000
```

[2]
This record from Alexandria describes a relaxed structure of Mg5Sn. The functional is PBEsol.

Results
ΔE_f: -0.069 eV/atom

The structure in CIF format:
```
data_Mg5Sn
_chemical_formula_sum 'Mg5 Sn1'
_cell_length_a 5.4918
_cell_length_b 5.4918
_cell_length_c 5.2049
_cell_angle_alpha 90.00
_cell_angle_beta 90.00
_cell_angle_gamma 120.00
_space_group_name_H-M_alt 'P -6 2 m'
_space_group_IT_number 189
_space_group_name_Hall 'P -6 -2'
loop_
_atom_site_label
_atom_site_type_symbol
_atom_site_fract_x
_atom_site_fract_y
_atom_site_fract_z
Mg1 Mg 0.0000 0.6655 0.0000
Mg2 Mg 0.3333 0.6667 0.5000
Sn1 Sn 0.0000 0.0000 0.5000
```

[3]
This record from Alexandria describes a relaxed structure of MgSn3. The functional is PBEsol.

Results
ΔE_f: -0.057 eV/atom

The structure in CIF format:
```
data_MgSn3
_chemical_formula_sum 'Mg2 Sn6'
_cell_length_a 4.507
_cell_length_b 4.507
_cell_length_c 9.860
_cell_angle_alpha 90.00
_cell_angle_beta 90.00
_cell_angle_gamma 90.00
_space_group_name_H-M_alt 'I 4/m m m'
_space_group_IT_number 139
_space_group_name_Hall '-I 4 2'
loop_
_atom_site_label
_atom_site_type_symbol
_atom_site_fract_x
_atom_site_fract_y
_atom_site_fract_z
Mg1 Mg 0.000 0.000 0.000
Sn1 Sn 0.000 0.000 0.500
Sn2 Sn 0.000 0.500 0.250
```

[4]
This record from Alexandria describes a relaxed structure of MgSn. The functional is PBEsol.

Results
ΔE_f: -0.095 eV/atom

The structure in CIF format:
```
data_MgSn
_chemical_formula_sum 'Mg1 Sn1'
_cell_length_a 3.3001
_cell_length_b 3.3001
_cell_length_c 5.0450
_cell_angle_alpha 90.00
_cell_angle_beta 90.00
_cell_angle_gamma 120.00
_space_group_name_H-M_alt 'P -6 m 2'
_space_group_IT_number 187
_space_group_name_Hall 'P -6 2'
loop_
_atom_site_label
_atom_site_type_symbol
_atom_site_fract_x
_atom_site_fract_y
_atom_site_fract_z
Mg1 Mg 0.0000 0.0000 0.0000
Sn1 Sn 0.3333 0.6667 0.5000
```

[5]
This record from Alexandria describes a relaxed structure of MgSn. The functional is PBEsol.

Results
ΔE_f: -0.102 eV/atom

The structure in CIF format:
```
data_MgSn
_chemical_formula_sum 'Mg6 Sn6'
_cell_length_a 9.458
_cell_length_b 5.564
_cell_length_c 5.619
_cell_angle_alpha 90.00
_cell_angle_beta 105.79
_cell_angle_gamma 90.00
_space_group_name_H-M_alt 'C 1 2 1'
_space_group_IT_number 5
loop_
_space_group_symop_operation_xyz
'x,y,z'
'-x,y,-z'
'x+1/2,y+1/2,z'
'-x+1/2,y+1/2,-z'
loop_
_atom_site_label
_atom_site_type_symbol
_atom_site_fract_x
_atom_site_fract_y
_atom_site_fract_z
Mg1 Mg 0.000 0.000 0.000
Mg2 Mg 0.171 0.281 0.520
Sn1 Sn 0.000 0.791 0.500
Sn2 Sn 0.171 0.487 0.020
```

[6]
This record from Alexandria describes a relaxed structure of Mg5Sn. The functional is PBEsol.

Results
ΔE_f: -0.056 eV/atom

The structure in CIF format:
```
data_Mg5Sn
_chemical_formula_sum 'Mg10 Sn2'
_cell_length_a 11.616
_cell_length_b 3.249
_cell_length_c 7.537
_cell_angle_alpha 90.00
_cell_angle_beta 106.56
_cell_angle_gamma 90.00
_space_group_name_H-M_alt 'C 1 m 1'
_space_group_IT_number 8
loop_
_space_group_symop_operation_xyz
'x,y,z'
'x,-y,z'
'x+1/2,y+1/2,z'
'x+1/2,-y+1/2,z'
loop_
_atom_site_label
_atom_site_type_symbol
_atom_site_fract_x
_atom_site_fract_y
_atom_site_fract_z
Mg1 Mg 0.000 0.000 0.000
Mg2 Mg 0.051 0.000 0.610
Mg3 Mg 0.162 0.500 0.336
Mg4 Mg 0.331 0.000 0.666
Mg5 Mg 0.384 0.000 0.274
Sn1 Sn 0.221 0.500 0.944
```

Please write out number 3 again, unchanged.
This record from Alexandria describes a relaxed structure of MgSn3. The functional is PBEsol.

Results
ΔE_f: -0.057 eV/atom

The structure in CIF format:
```
data_MgSn3
_chemical_formula_sum 'Mg2 Sn6'
_cell_length_a 4.507
_cell_length_b 4.507
_cell_length_c 9.860
_cell_angle_alpha 90.00
_cell_angle_beta 90.00
_cell_angle_gamma 90.00
_space_group_name_H-M_alt 'I 4/m m m'
_space_group_IT_number 139
_space_group_name_Hall '-I 4 2'
loop_
_atom_site_label
_atom_site_type_symbol
_atom_site_fract_x
_atom_site_fract_y
_atom_site_fract_z
Mg1 Mg 0.000 0.000 0.000
Sn1 Sn 0.000 0.000 0.500
Sn2 Sn 0.000 0.500 0.250
```